Entry 1:
{
  "formula": "Mo2AsPb",
  "functional": "GGA-PBE",
  "state": "optimized geometry",
  "lattice": [[4.231, -1.612, 0.000], [4.231, 1.612, 0.000], [-1.467, 0.000, 5.695]],
  "species": ["Mo", "Mo", "As", "Pb"],
  "fractional_positions": [[0.238, 0.238, 0.175], [0.762, 0.762, 0.825], [0.500, 0.500, 0.000], [0.000, 0.000, 0.500]],
  "relative_energy_ev_per_atom": 0.258,
  "m_tot_mub_per_fu": 0.0,
  "e_tot_ev_per_atom": -7.084,
  "crystal_system": "monoclinic"
}

---

Entry 2:
{
  "formula": "MoAs2Pb",
  "functional": "GGA-PBE",
  "state": "optimized geometry",
  "lattice": [[4.189, -1.686, 0.000], [4.189, 1.686, 0.000], [-0.984, 0.000, 6.186]],
  "species": ["Mo", "As", "As", "Pb"],
  "fractional_positions": [[0.000, 0.000, 0.000], [0.278, 0.278, 0.838], [0.722, 0.722, 0.162], [0.500, 0.500, 0.500]],
  "m_tot_mub_per_fu": 0.0,
  "e_tot_ev_per_atom": -5.765,
  "crystal_system": "monoclinic"
}

---

Entry 3:
{
  "formula": "MoAs2Pb",
  "functional": "GGA-PBE",
  "state": "optimized geometry",
  "lattice": [[-1.549, 2.915, 5.011], [1.549, -2.915, 5.011], [1.549, 2.915, -5.011]],
  "species": ["Mo", "As", "As", "Pb"],
  "fractional_positions": [[0.000, 0.000, 0.000], [0.199, 0.699, 0.500], [0.801, 0.301, 0.500], [0.500, 0.500, 0.000]],
  "m_tot_mub_per_fu": 0.0,
  "e_tot_ev_per_atom": -5.622,
  "crystal_system": "orthorhombic"
}

---

Entry 4:
{
  "formula": "MoAsPb3",
  "functional": "GGA-PBE",
  "state": "optimized geometry",
  "lattice": [[5.559, 0.000, 0.000], [0.000, 5.559, 0.000], [0.000, 0.000, 5.559]],
  "species": ["Mo", "As", "Pb", "Pb", "Pb"],
  "fractional_positions": [[0.000, 0.000, 0.000], [0.500, 0.500, 0.500], [0.000, 0.500, 0.500], [0.500, 0.000, 0.500], [0.500, 0.500, 0.000]],
  "relative_energy_ev_per_atom": 0.479,
  "m_tot_mub_per_fu": 4.2,
  "e_tot_ev_per_atom": -4.123,
  "crystal_system": "cubic"
}